Entry 1:
PrCdGaHg: relaxed, GGA-PBE.

* DOS(E_F): 5.32 states/eV/cell
* ΔE_f: -36 kJ/mol of atoms

Structure (CIF):
```
data_PrCdGaHg
_space_group_name_H-M_alt 'F -4 3 m'
_space_group_IT_number 216
_space_group_name_Hall 'F -4 2 3'
_cell_length_a 7.272
_cell_length_b 7.272
_cell_length_c 7.272
_cell_angle_alpha 90.00
_cell_angle_beta 90.00
_cell_angle_gamma 90.00
loop_
_atom_site_label
_atom_site_fract_x
_atom_site_fract_y
_atom_site_fract_z
_atom_site_occupancy
Pr1 0.000 0.000 0.000 1
Cd1 0.000 0.000 0.500 1
Ga1 0.250 0.250 0.750 1
Hg1 0.250 0.250 0.250 1
```

***

Entry 2:
Cd2GaHgPt: relaxed, GGA-PBE.

* DOS(E_F): 1.59 states/eV/cell
* ΔE_f: -17 kJ/mol of atoms

Structure (CIF):
```
data_Cd2GaHgPt
_space_group_name_H-M_alt 'P 4/m m m'
_space_group_IT_number 123
_space_group_name_Hall '-P 4 2'
_cell_length_a 5.337
_cell_length_b 5.337
_cell_length_c 4.773
_cell_angle_alpha 90.00
_cell_angle_beta 90.00
_cell_angle_gamma 90.00
loop_
_atom_site_label
_atom_site_fract_x
_atom_site_fract_y
_atom_site_fract_z
_atom_site_occupancy
Cd1 0.000 0.500 0.000 1
Ga1 0.000 0.000 0.500 1
Hg1 0.500 0.500 0.500 1
Pt1 0.000 0.000 0.000 1
```

***

Entry 3:
PuCdGaHg: relaxed, GGA-PBE.

* DOS(E_F): 43.29 states/eV/cell
* ΔE_f: -16 kJ/mol of atoms

Structure (CIF):
```
data_PuCdGaHg
_space_group_name_H-M_alt 'F -4 3 m'
_space_group_IT_number 216
_space_group_name_Hall 'F -4 2 3'
_cell_length_a 7.147
_cell_length_b 7.147
_cell_length_c 7.147
_cell_angle_alpha 90.00
_cell_angle_beta 90.00
_cell_angle_gamma 90.00
loop_
_atom_site_label
_atom_site_fract_x
_atom_site_fract_y
_atom_site_fract_z
_atom_site_occupancy
Pu1 0.000 0.000 0.000 1
Cd1 0.000 0.000 0.500 1
Ga1 0.250 0.250 0.750 1
Hg1 0.250 0.250 0.250 1
```

***

Entry 4:
RbCdGaHg2: relaxed, GGA-PBE.

* DOS(E_F): 1.87 states/eV/cell
* relative energy among the computed polymorphs: 0.0956 eV per atom
* ΔE_f: 3 kJ/mol of atoms

Structure (CIF):
```
data_RbCdGaHg2
_space_group_name_H-M_alt 'P 4/m m m'
_space_group_IT_number 123
_space_group_name_Hall '-P 4 2'
_cell_length_a 5.737
_cell_length_b 5.737
_cell_length_c 5.320
_cell_angle_alpha 90.00
_cell_angle_beta 90.00
_cell_angle_gamma 90.00
loop_
_atom_site_label
_atom_site_fract_x
_atom_site_fract_y
_atom_site_fract_z
_atom_site_occupancy
Rb1 0.000 0.000 0.000 1
Cd1 0.500 0.500 0.500 1
Ga1 0.500 0.500 0.000 1
Hg1 0.000 0.500 0.500 1
```

***

Entry 5:
RbCd2GaHg: relaxed, GGA-PBE.

* DOS(E_F): 2.10 states/eV/cell
* ΔE_f: -1 kJ/mol of atoms

Structure (CIF):
```
data_RbCd2GaHg
_space_group_name_H-M_alt 'P 4/m m m'
_space_group_IT_number 123
_space_group_name_Hall '-P 4 2'
_cell_length_a 5.477
_cell_length_b 5.477
_cell_length_c 5.464
_cell_angle_alpha 90.00
_cell_angle_beta 90.00
_cell_angle_gamma 90.00
loop_
_atom_site_label
_atom_site_fract_x
_atom_site_fract_y
_atom_site_fract_z
_atom_site_occupancy
Rb1 0.000 0.000 0.000 1
Cd1 0.000 0.500 0.500 1
Ga1 0.500 0.500 0.500 1
Hg1 0.500 0.500 0.000 1
```

***

Entry 6:
Rb2CdGaHg6: relaxed, GGA-PBE.

* DOS(E_F): 3.36 states/eV/cell
* ΔE_f: -13 kJ/mol of atoms

Structure (CIF):
```
data_Rb2CdGaHg6
_space_group_name_H-M_alt 'P -1'
_space_group_IT_number 2
_space_group_name_Hall '-P 1'
_cell_length_a 7.428
_cell_length_b 7.557
_cell_length_c 8.102
_cell_angle_alpha 63.97
_cell_angle_beta 63.30
_cell_angle_gamma 61.34
loop_
_atom_site_label
_atom_site_fract_x
_atom_site_fract_y
_atom_site_fract_z
_atom_site_occupancy
Rb1 0.213 0.207 0.362 1
Cd1 0.500 0.500 0.500 1
Ga1 0.000 0.000 0.000 1
Hg1 0.217 0.280 0.829 1
Hg2 0.268 0.689 0.816 1
Hg3 0.330 0.760 0.168 1
```

***

| no. | E (eV/atom) |
| --- | --- |
| 1 | -2.630 |
| 2 | -2.412 |
| 3 | -4.811 |
| 4 | -1.073 |
| 5 | -1.236 |
| 6 | -0.899 |